[1]
# VOsS2, optimized geometry, DFT PBE
# Energy above the lowest structure with this stoichiometry: 0.186 eV per atom
# D(E_F): 1.82 states/eV/f.u.
data_VOsS2
_chemical_formula_sum 'V4 Os4 S8'
_space_group_name_H-M_alt 'I -4 2 d'
_space_group_IT_number 122
_space_group_name_Hall 'I -4 2bw'
_cell_length_a 5.168
_cell_length_b 5.168
_cell_length_c 10.894
_cell_angle_alpha 90.00
_cell_angle_beta 90.00
_cell_angle_gamma 90.00
loop_
_atom_site_label
_atom_site_type_symbol
_atom_site_fract_x
_atom_site_fract_y
_atom_site_fract_z
V1 V 0.000 0.000 0.000
Os1 Os 0.000 0.000 0.500
S1 S 0.245 0.250 0.625

[2]
# VOsS2, optimized geometry, DFT PBE
# Energy above the lowest structure with this stoichiometry: 0.593 eV per atom
# D(E_F): 3.59 states/eV/f.u.
data_VOsS2
_chemical_formula_sum 'V3 Os3 S6'
_space_group_name_H-M_alt 'R -3 m'
_space_group_IT_number 166
_space_group_name_Hall '-R 3 2"'
_cell_length_a 3.3711
_cell_length_b 3.3711
_cell_length_c 22.4621
_cell_angle_alpha 90.00
_cell_angle_beta 90.00
_cell_angle_gamma 120.00
loop_
_atom_site_label
_atom_site_type_symbol
_atom_site_fract_x
_atom_site_fract_y
_atom_site_fract_z
V1 V 0.0000 0.0000 0.0000
Os1 Os 0.0000 0.0000 0.5000
S1 S 0.0000 0.0000 0.1049

Calculated values (eV per atom) of uncorrected energy for the records, taken in order: -7.288, -6.881.